{"formula": "RbLiCd2Pt", "functional": "GGA-PBE", "state": "optimized geometry", "delta_e_f_ev_per_atom": -0.2379, "m_tot_mub_per_cell": 0.0, "dos_ef_per_ev_cell": 1.6, "spacegroup": "P4/mmm, No. 123", "energy_ev_per_fu": -11.9, "lattice_angstrom": [[-4.6599, 1.9137, -1.8590], [1.5891, -1.0144, -5.0278], [-1.9987, -4.5824, 0.2928]], "species": ["Pt", "Cd", "Li", "Rb", "Cd"], "fractional_positions": [[0.0000, 0.0000, 0.0000], [0.0000, 0.5000, 0.0000], [0.0000, 0.0000, 0.5000], [0.5000, 0.5000, 0.5000], [0.5000, 0.0000, 0.0000]]}